Model 1:
First-principles (PBE) data for crystalline PmSiB at its relaxed geometry, as listed in Alexandria.

Output
Its symmetry is P-6m2.

Unit cell a=4.327 b=3.597 c=3.597 alpha=120.00 beta=90.00 gamma=90.00
Sites, in units of the cell vectors:
1 Si 0.167 0.000 0.000
2 B 0.166 0.667 0.333
3 Pm 0.667 0.333 0.667

Model 2:
First-principles (PBE) data for crystalline PmSiB at its relaxed geometry, as listed in Alexandria.

Output
Its symmetry is C2/m.

Unit cell a=4.023 b=4.002 c=6.822 alpha=107.06 beta=103.20 gamma=90.00
Sites, in units of the cell vectors:
1 Pm 0.623 0.885 0.770
2 Pm 0.377 0.115 0.230
3 Si 0.056 0.301 0.601
4 Si 0.944 0.699 0.399
5 B 0.124 0.457 0.914
6 B 0.876 0.543 0.086

Model 3:
First-principles (PBE) data for crystalline PmSiB at its relaxed geometry, as listed in Alexandria.

Output
Its symmetry is Fmmm.

Unit cell a=4.589 b=3.739 c=8.689 alpha=80.67 beta=74.69 gamma=52.15
Sites, in units of the cell vectors:
1 Si 0.750 0.500 0.500
2 Si 0.250 0.500 0.500
3 B 0.865 0.269 0.000
4 B 0.135 0.731 0.000
5 Pm 0.601 0.000 0.798
6 Pm 0.399 0.000 0.202

Model 4:
First-principles (PBE) data for crystalline PmSiB at its relaxed geometry, as listed in Alexandria.

Output
Its symmetry is Immm.

Unit cell a=3.584 b=5.655 c=5.655 alpha=67.99 beta=71.53 gamma=71.53
Sites, in units of the cell vectors:
1 Pm 0.749 0.251 0.251
2 Pm 0.251 0.749 0.749
3 Si 0.000 0.310 0.690
4 Si 0.000 0.690 0.310
5 B 0.500 0.862 0.138
6 B 0.500 0.138 0.862

Among the structures above, stability is smallest for model 3.